No. 1
! YPt2I meta-GGA SCAN PBEsol geometry; values from VASP
&SYSTEM
  ibrav = 0, nat = 4, ntyp = 3
/
ATOMIC_SPECIES
Pt 195.08 Pt.upf
I 126.90 I.upf
Y 88.91 Y.upf
CELL_PARAMETERS angstrom
4.874 0.000 0.000
2.437 4.221 0.000
2.437 1.407 3.979
ATOMIC_POSITIONS crystal
Pt 0.750 0.750 0.750
I 0.500 0.500 0.500
Y 0.000 0.000 0.000
Pt 0.250 0.250 0.250
! Calculated volume = 82 Å³/f.u.
! ΔE_f (raw) = -0.34 eV per atom

No. 2
! RbI3 meta-GGA SCAN PBEsol geometry; values from VASP
&SYSTEM
  ibrav = 0, nat = 16, ntyp = 2
/
ATOMIC_SPECIES
I 126.90 I.upf
Rb 85.47 Rb.upf
CELL_PARAMETERS angstrom
-3.644 -5.355 -1.086
7.355 -3.994 -4.986
3.722 -4.353 8.976
ATOMIC_POSITIONS crystal
I 0.750 0.851 0.658
I 0.250 0.950 0.127
Rb 0.750 0.528 0.828
I 0.250 0.149 0.342
I 0.250 0.550 0.627
I 0.750 0.050 0.873
I 0.750 0.241 0.078
I 0.750 0.259 0.578
I 0.250 0.759 0.922
Rb 0.250 0.028 0.672
Rb 0.750 0.972 0.328
I 0.250 0.351 0.842
I 0.750 0.450 0.373
Rb 0.250 0.472 0.172
I 0.250 0.741 0.422
I 0.750 0.649 0.158
! Calculated volume = 170 Å³/f.u.
! ΔE_f (raw) = -0.87 eV per atom

> What is the calculated volume in the second record?

170 Å³/f.u.